[1]
First-principles (PBE) data for an optimized crystal structure of CaGa2CuPd4, as listed in the Alexandria database.

```
CaGa2CuPd4
1.0
2.172 1.254 8.326
-2.172 1.254 8.326
0.000 -2.509 8.326
Ca Ga Cu Pd
1 2 1 4
Direct
0.000 0.000 0.000 Ca
0.237 0.237 0.237 Ga
0.763 0.763 0.763 Ga
0.500 0.500 0.500 Cu
0.128 0.128 0.128 Pd
0.400 0.400 0.400 Pd
0.600 0.600 0.600 Pd
0.872 0.872 0.872 Pd
```

Calculated values
Formation energy from the elements in eV per atom: -0.560
Crystal system: trigonal
Magnetic moment in μB/atom: 0.00

[2]
First-principles (PBE) data for an optimized crystal structure of Pu3Pa2TiN6, as listed in the Alexandria database.

```
Pu3Pa2TiN6
1.0
2.963 -5.130 0.000
2.963 5.130 0.000
-1.963 0.000 5.588
Pu Pa Ti N
3 2 1 6
Direct
0.000 0.000 0.000 Pu
0.336 0.664 0.000 Pu
0.664 0.336 0.000 Pu
0.167 0.833 0.500 Pa
0.833 0.167 0.500 Pa
0.500 0.500 0.500 Ti
0.105 0.424 0.271 N
0.258 0.258 0.732 N
0.424 0.105 0.271 N
0.576 0.895 0.729 N
0.742 0.742 0.268 N
0.895 0.576 0.729 N
```

Calculated values
Crystal system: monoclinic
Uncorrected formation energy in eV per atom: -1.428
Magnetic moment in μB/atom: 1.23

[3]
First-principles (PBE) data for an optimized crystal structure of LiAcTh2S4, as listed in the Alexandria database.

```
LiAcTh2S4
1.0
6.972 0.000 0.000
0.000 4.038 0.000
-2.279 0.000 6.850
Li Ac Th S
1 1 2 4
Direct
0.000 0.000 0.000 Li
0.500 0.500 0.000 Ac
0.000 0.500 0.500 Th
0.500 0.000 0.500 Th
0.231 0.000 0.746 S
0.237 0.500 0.249 S
0.763 0.500 0.751 S
0.769 0.000 0.254 S
```

Calculated values
Crystal system: monoclinic
Uncorrected formation energy in eV per atom: -1.756
Magnetic moment in μB/atom: 0.00

[4]
First-principles (PBE) data for an optimized crystal structure of Hf6Sb3S, as listed in the Alexandria database.

```
Hf6Sb3S
1.0
5.381 -6.804 0.000
5.381 6.804 0.000
0.000 0.000 6.339
Hf Sb S
12 6 2
Direct
0.026 0.974 0.500 Hf
0.072 0.592 0.426 Hf
0.241 0.759 0.880 Hf
0.283 0.419 0.915 Hf
0.408 0.928 0.426 Hf
0.419 0.283 0.415 Hf
0.581 0.717 0.915 Hf
0.592 0.072 0.926 Hf
0.717 0.581 0.415 Hf
0.759 0.241 0.380 Hf
0.928 0.408 0.926 Hf
0.974 0.026 0.000 Hf
0.100 0.285 0.279 Sb
0.285 0.100 0.779 Sb
0.399 0.601 0.543 Sb
0.601 0.399 0.043 Sb
0.715 0.900 0.279 Sb
0.900 0.715 0.779 Sb
0.147 0.853 0.217 S
0.853 0.147 0.717 S
```

Calculated values
Crystal system: orthorhombic
Uncorrected formation energy in eV per atom: -0.442
Magnetic moment in μB/atom: 0.00

[5]
First-principles (PBE) data for an optimized crystal structure of GaRhN2O, as listed in the Alexandria database.

```
GaRhN2O
1.0
3.831 0.000 0.000
0.000 3.831 0.000
0.000 0.000 3.807
Ga Rh N O
1 1 2 1
Direct
0.000 0.000 0.000 Ga
0.500 0.500 0.500 Rh
0.000 0.500 0.000 N
0.500 0.000 0.000 N
0.000 0.000 0.500 O
```

Calculated values
Crystal system: tetragonal
Uncorrected formation energy in eV per atom: 1.168
Magnetic moment in μB/atom: 0.01

[6]
First-principles (PBE) data for an optimized crystal structure of HoSiAg2Se4, as listed in the Alexandria database.

```
HoSiAg2Se4
1.0
-3.859 4.084 5.689
3.859 -4.084 5.689
3.859 4.084 -5.689
Ho Si Ag Se
2 2 4 8
Direct
0.000 0.000 0.000 Ho
0.500 0.000 0.500 Ho
0.500 0.000 0.000 Si
0.500 0.500 0.500 Si
0.000 0.000 0.500 Ag
0.000 0.500 0.000 Ag
0.000 0.500 0.500 Ag
0.500 0.500 0.000 Ag
0.268 0.270 0.502 Se
0.268 0.765 0.998 Se
0.273 0.250 0.023 Se
0.273 0.750 0.523 Se
0.727 0.250 0.477 Se
0.727 0.750 0.977 Se
0.732 0.235 0.002 Se
0.732 0.730 0.498 Se
```

Calculated values
Crystal system: orthorhombic
Uncorrected formation energy in eV per atom: -0.593
Magnetic moment in μB/atom: 0.00

[7]
First-principles (PBE) data for an optimized crystal structure of SrCdReN2, as listed in the Alexandria database.

```
SrCdReN2
1.0
4.054 0.000 0.000
0.000 4.054 0.000
0.000 0.000 5.288
Sr Cd Re N
1 1 1 2
Direct
0.000 0.000 0.000 Sr
0.500 0.500 0.000 Cd
0.500 0.500 0.500 Re
0.000 0.500 0.500 N
0.500 0.000 0.500 N
```

Calculated values
Crystal system: tetragonal
Uncorrected formation energy in eV per atom: 0.354
Magnetic moment in μB/atom: 0.00

[8]
First-principles (PBE) data for an optimized crystal structure of La2NdEr3, as listed in the Alexandria database.

```
La2NdEr3
1.0
4.758 -6.587 0.000
4.758 6.587 0.000
0.000 0.000 6.484
La Nd Er
4 2 6
Direct
0.108 0.233 0.000 La
0.233 0.108 0.500 La
0.767 0.892 0.000 La
0.892 0.767 0.500 La
0.332 0.668 0.282 Nd
0.668 0.332 0.782 Nd
0.012 0.626 0.975 Er
0.374 0.988 0.975 Er
0.410 0.590 0.759 Er
0.590 0.410 0.259 Er
0.626 0.012 0.475 Er
0.988 0.374 0.475 Er
```

Calculated values
Formation energy from the elements in eV per atom: 0.193
Crystal system: orthorhombic
Magnetic moment in μB/atom: 0.00

[9]
First-principles (PBE) data for an optimized crystal structure of LiTiNb2Se, as listed in the Alexandria database.

```
LiTiNb2Se
1.0
4.670 0.000 0.000
0.000 4.670 0.000
0.000 0.000 4.936
Li Ti Nb Se
1 1 2 1
Direct
0.000 0.000 0.000 Li
0.000 0.000 0.500 Ti
0.000 0.500 0.500 Nb
0.500 0.000 0.500 Nb
0.500 0.500 0.000 Se
```

Calculated values
Crystal system: tetragonal
Uncorrected formation energy in eV per atom: 1.054
Magnetic moment in μB/atom: 0.00

[10]
First-principles (PBE) data for an optimized crystal structure of Ca2LaTaTi, as listed in the Alexandria database.

```
Ca2LaTaTi
1.0
5.717 0.000 0.000
0.000 5.717 0.000
0.000 0.000 4.775
Ca La Ta Ti
2 1 1 1
Direct
0.000 0.500 0.000 Ca
0.500 0.000 0.000 Ca
0.000 0.000 0.500 La
0.500 0.500 0.500 Ta
0.500 0.500 0.000 Ti
```

Calculated values
Formation energy from the elements in eV per atom: 0.794
Crystal system: tetragonal
Magnetic moment in μB/atom: 0.00

[11]
First-principles (PBE) data for an optimized crystal structure of Mg2Zn2In, as listed in the Alexandria database.

```
Mg2Zn2In
1.0
1.751 -12.860 0.000
1.751 12.860 0.000
0.000 0.000 4.448
Mg Zn In
4 4 2
Direct
0.062 0.938 0.750 Mg
0.236 0.764 0.250 Mg
0.764 0.236 0.750 Mg
0.938 0.062 0.250 Mg
0.172 0.828 0.750 Zn
0.474 0.526 0.750 Zn
0.526 0.474 0.250 Zn
0.828 0.172 0.250 Zn
0.368 0.632 0.750 In
0.632 0.368 0.250 In
```

Calculated values
Formation energy from the elements in eV per atom: -0.027
Crystal system: orthorhombic
Magnetic moment in μB/atom: 0.00

[12]
First-principles (PBE) data for an optimized crystal structure of Pr4UCo5, as listed in the Alexandria database.

```
Pr4UCo5
1.0
-4.659 4.659 2.479
4.659 -4.659 2.479
4.659 4.659 -2.479
Pr U Co
4 1 5
Direct
0.000 0.288 0.288 Pr
0.000 0.712 0.712 Pr
0.288 0.000 0.288 Pr
0.712 0.000 0.712 Pr
0.399 0.399 0.000 U
0.340 0.340 0.660 Co
0.340 0.680 0.000 Co
0.680 0.340 0.000 Co
0.680 0.680 0.340 Co
0.883 0.883 0.000 Co
```

Calculated values
Formation energy from the elements in eV per atom: 0.010
Crystal system: tetragonal
Magnetic moment in μB/atom: 0.00

[13]
First-principles (PBE) data for an optimized crystal structure of Er3SbAs2Rh9, as listed in the Alexandria database.

```
Er3SbAs2Rh9
1.0
6.258 0.000 0.000
-3.129 5.420 0.000
0.000 0.000 9.221
Er Sb As Rh
3 1 2 9
Direct
0.000 0.000 0.000 Er
0.333 0.667 0.749 Er
0.667 0.333 0.251 Er
0.000 0.000 0.500 Sb
0.333 0.667 0.171 As
0.667 0.333 0.829 As
0.000 0.500 0.000 Rh
0.142 0.284 0.270 Rh
0.142 0.858 0.270 Rh
0.284 0.142 0.730 Rh
0.500 0.000 0.000 Rh
0.500 0.500 0.000 Rh
0.716 0.858 0.270 Rh
0.858 0.142 0.730 Rh
0.858 0.716 0.730 Rh
```

Calculated values
Crystal system: trigonal
Uncorrected formation energy in eV per atom: -0.459
Magnetic moment in μB/atom: 0.00

[14]
First-principles (PBE) data for an optimized crystal structure of Pr12ErTm5, as listed in the Alexandria database.

```
Pr12ErTm5
1.0
10.900 0.000 0.000
0.000 5.173 0.000
-0.115 0.000 10.923
Pr Er Tm
12 1 5
Direct
0.003 0.000 0.169 Pr
0.164 0.500 0.664 Pr
0.169 0.500 0.002 Pr
0.331 0.000 0.497 Pr
0.336 0.000 0.836 Pr
0.497 0.500 0.331 Pr
0.503 0.500 0.669 Pr
0.664 0.000 0.164 Pr
0.669 0.000 0.503 Pr
0.831 0.500 0.998 Pr
0.836 0.500 0.336 Pr
0.997 0.000 0.831 Pr
0.000 0.000 0.500 Er
0.167 0.500 0.333 Tm
0.333 0.000 0.167 Tm
0.500 0.500 0.000 Tm
0.667 0.000 0.833 Tm
0.833 0.500 0.667 Tm
```

Calculated values
Formation energy from the elements in eV per atom: 0.028
Crystal system: monoclinic
Magnetic moment in μB/atom: 0.00